Record 1
This record from Alexandria via LeMat-Bulk describes crystalline Ca2VRh2 at its relaxed geometry. The functional is GGA-PBE.

Geometry as POSCAR:
```
Ca2VRh2
1.0
6.564 0.000 0.000
0.000 6.564 0.000
0.000 0.000 4.734
Ca V Rh
4 2 4
Direct
0.175 0.325 0.000
0.325 0.825 0.000
0.675 0.175 0.000
0.825 0.675 0.000
0.000 0.000 0.500
0.500 0.500 0.500
0.142 0.642 0.500
0.358 0.142 0.500
0.642 0.858 0.500
0.858 0.358 0.500
```

## Properties
The uncorrected energy is -5.740 eV per atom. Its symmetry is P4/mbm, No. 127.

---

Record 2
This record from Alexandria via LeMat-Bulk describes crystalline Ca3VRh at its relaxed geometry. The functional is GGA-PBE.

Geometry as POSCAR:
```
Ca3VRh
1.0
5.479 0.000 0.000
0.000 5.479 0.000
0.000 0.000 5.479
Ca V Rh
3 1 1
Direct
0.000 0.000 0.500
0.000 0.500 0.000
0.500 0.000 0.000
0.000 0.000 0.000
0.500 0.500 0.500
```

## Properties
The uncorrected energy is -3.420 eV per atom. Its symmetry is Pm-3m, No. 221.

---

Record 3
This record from Alexandria via LeMat-Bulk describes crystalline CaV2Rh2 at its relaxed geometry. The functional is GGA-PBE.

Geometry as POSCAR:
```
CaV2Rh2
1.0
4.230 0.000 0.000
0.000 4.230 0.000
0.000 0.000 10.228
Ca V Rh
2 4 4
Direct
0.000 0.000 0.000
0.500 0.500 0.500
0.000 0.500 0.250
0.000 0.500 0.750
0.500 0.000 0.250
0.500 0.000 0.750
0.000 0.000 0.369
0.000 0.000 0.631
0.500 0.500 0.131
0.500 0.500 0.869
```

## Properties
The uncorrected energy is -7.239 eV per atom. Its symmetry is I4/mmm, No. 139.

---

Record 4
This record from Alexandria via LeMat-Bulk describes crystalline CaRhW2 at its relaxed geometry. The functional is GGA-PBE.

Geometry as POSCAR:
```
CaRhW2
1.0
3.507 0.000 0.000
0.000 4.504 0.000
0.000 0.000 9.005
Ca Rh W
2 2 4
Direct
0.000 0.000 0.000
0.500 0.500 0.000
0.000 0.500 0.741
0.500 0.000 0.741
0.000 0.000 0.528
0.000 0.500 0.296
0.500 0.000 0.296
0.500 0.500 0.528
```

## Properties
The uncorrected energy is -8.480 eV per atom. Its symmetry is Cmm2, No. 35.

---

Record 5
This record from Alexandria via LeMat-Bulk describes crystalline Ca2RhW at its relaxed geometry. The functional is GGA-PBE.

Geometry as POSCAR:
```
Ca2RhW
1.0
3.251 0.000 0.000
0.000 3.251 0.000
0.000 0.000 9.137
Ca Rh W
2 1 1
Direct
0.000 0.000 0.000
0.500 0.500 0.380
0.000 0.000 0.617
0.500 0.500 0.750
```

## Properties
The uncorrected energy is -5.875 eV per atom. Its symmetry is P4mm, No. 99.

---

Record 6
This record from Alexandria via LeMat-Bulk describes crystalline Ca2RhW at its relaxed geometry. The functional is GGA-PBE.

Geometry as POSCAR:
```
Ca2RhW
1.0
8.253 0.000 0.000
0.000 8.253 0.000
0.000 0.000 5.362
Ca Rh W
8 4 4
Direct
0.199 0.750 0.125
0.250 0.199 0.875
0.250 0.301 0.375
0.301 0.750 0.625
0.699 0.250 0.625
0.750 0.699 0.375
0.750 0.801 0.875
0.801 0.250 0.125
0.000 0.000 0.000
0.000 0.500 0.250
0.500 0.000 0.750
0.500 0.500 0.500
0.000 0.000 0.500
0.000 0.500 0.750
0.500 0.000 0.250
0.500 0.500 0.000
```

## Properties
The uncorrected energy is -5.161 eV per atom. Its symmetry is I-42d, No. 122.

---

Record 7
This record from Alexandria via LeMat-Bulk describes crystalline Ca2RhW at its relaxed geometry. The functional is GGA-PBE.

Geometry as POSCAR:
```
Ca2RhW
1.0
3.123 0.000 0.000
-1.561 2.704 0.000
0.000 0.000 28.899
Ca Rh W
6 3 3
Direct
0.000 0.000 0.242
0.000 0.000 0.758
0.333 0.667 0.424
0.333 0.667 0.909
0.667 0.333 0.091
0.667 0.333 0.576
0.000 0.000 0.500
0.333 0.667 0.167
0.667 0.333 0.833
0.000 0.000 0.000
0.333 0.667 0.667
0.667 0.333 0.333
```

## Properties
The uncorrected energy is -5.521 eV per atom. Its symmetry is R-3m, No. 166.

---

Record 8
This record from Alexandria via LeMat-Bulk describes crystalline Ca2RhW at its relaxed geometry. The functional is GGA-PBE.

Geometry as POSCAR:
```
Ca2RhW
1.0
2.989 0.000 0.000
0.000 4.826 0.000
0.000 0.000 5.588
Ca Rh W
2 1 1
Direct
0.000 0.000 0.244
0.000 0.000 0.756
0.500 0.500 0.000
0.500 0.500 0.500
```

## Properties
The uncorrected energy is -5.484 eV per atom. Its symmetry is Pmmm, No. 47.

---

Record 9
This record from Alexandria via LeMat-Bulk describes crystalline Ca2RhW at its relaxed geometry. The functional is GGA-PBE.

Geometry as POSCAR:
```
Ca2RhW
1.0
4.086 0.000 0.000
0.000 4.086 0.000
0.000 0.000 4.831
Ca Rh W
2 1 1
Direct
0.000 0.500 0.000
0.500 0.000 0.000
0.000 0.000 0.500
0.500 0.500 0.500
```

## Properties
The uncorrected energy is -5.401 eV per atom. Its symmetry is P4/mmm, No. 123.

---

Record 10
This record from Alexandria via LeMat-Bulk describes crystalline CaRhW2 at its relaxed geometry. The functional is GGA-PBE.

Geometry as POSCAR:
```
CaRhW2
1.0
2.893 0.000 0.000
-1.446 2.505 0.000
0.000 0.000 29.131
Ca Rh W
3 3 6
Direct
0.000 0.000 0.000
0.333 0.667 0.667
0.667 0.333 0.333
0.000 0.000 0.247
0.333 0.667 0.914
0.667 0.333 0.581
0.000 0.000 0.509
0.000 0.000 0.760
0.333 0.667 0.175
0.333 0.667 0.427
0.667 0.333 0.094
0.667 0.333 0.842
```

## Properties
The uncorrected energy is -8.317 eV per atom. Its symmetry is R3m, No. 160.

---

Record 11
This record from Alexandria via LeMat-Bulk describes crystalline CaRhW2 at its relaxed geometry. The functional is GGA-PBE.

Geometry as POSCAR:
```
CaRhW2
1.0
3.378 0.000 0.000
0.000 3.378 0.000
0.000 0.000 7.074
Ca Rh W
1 1 2
Direct
0.000 0.000 0.000
0.000 0.000 0.500
0.500 0.500 0.330
0.500 0.500 0.670
```

## Properties
The uncorrected energy is -8.090 eV per atom. Its symmetry is P4/mmm, No. 123.

---

Record 12
This record from Alexandria via LeMat-Bulk describes crystalline Ca2RhW at its relaxed geometry. The functional is GGA-PBE.

Geometry as POSCAR:
```
Ca2RhW
1.0
3.005 0.000 0.000
0.000 4.813 0.000
-0.900 0.000 5.576
Ca Rh W
2 1 1
Direct
0.058 0.000 0.256
0.942 0.000 0.744
0.500 0.500 0.500
0.500 0.500 0.000
```

## Properties
The uncorrected energy is -5.488 eV per atom. Its symmetry is P2/m, No. 10.

---

Record 13
This record from Alexandria via LeMat-Bulk describes crystalline CaRhW2 at its relaxed geometry. The functional is GGA-PBE.

Geometry as POSCAR:
```
CaRhW2
1.0
3.804 0.000 0.000
0.000 3.804 0.000
0.000 0.000 4.922
Ca Rh W
1 1 2
Direct
0.000 0.000 0.000
0.500 0.500 0.000
0.000 0.500 0.500
0.500 0.000 0.500
```

## Properties
The uncorrected energy is -8.234 eV per atom. Its symmetry is P4/mmm, No. 123.

---

Record 14
This record from Alexandria via LeMat-Bulk describes crystalline Ca2RhW at its relaxed geometry. The functional is GGA-PBE.

Geometry as POSCAR:
```
Ca2RhW
1.0
5.610 0.000 0.000
0.000 9.668 0.000
0.000 0.000 2.975
Ca Rh W
4 2 2
Direct
0.250 0.250 0.000
0.250 0.750 0.000
0.750 0.250 0.000
0.750 0.750 0.000
0.000 0.000 0.500
0.500 0.500 0.500
0.000 0.500 0.500
0.500 0.000 0.500
```

## Properties
The uncorrected energy is -5.471 eV per atom. Its symmetry is Cmmm, No. 65.

---

Record 15
This record from Alexandria via LeMat-Bulk describes crystalline CaRhW2 at its relaxed geometry. The functional is GGA-PBE.

Geometry as POSCAR:
```
CaRhW2
1.0
3.770 0.000 0.000
0.000 4.089 0.000
0.000 0.000 9.262
Ca Rh W
2 2 4
Direct
0.000 0.000 0.000
0.500 0.500 0.000
0.000 0.000 0.500
0.500 0.500 0.500
0.000 0.500 0.288
0.000 0.500 0.712
0.500 0.000 0.288
0.500 0.000 0.712
```

## Properties
The uncorrected energy is -8.286 eV per atom. Its symmetry is Cmmm, No. 65.

---

Record 16
This record from Alexandria via LeMat-Bulk describes crystalline Ca2RhW at its relaxed geometry. The functional is GGA-PBE.

Geometry as POSCAR:
```
Ca2RhW
1.0
3.131 0.000 0.000
0.000 5.036 0.000
0.000 0.000 10.203
Ca Rh W
4 2 2
Direct
0.000 0.000 0.220
0.000 0.000 0.780
0.500 0.500 0.280
0.500 0.500 0.720
0.000 0.500 0.500
0.500 0.000 0.000
0.000 0.500 0.000
0.500 0.000 0.500
```

## Properties
The uncorrected energy is -5.470 eV per atom. Its symmetry is Immm, No. 71.

---

Record 17
This record from Alexandria via LeMat-Bulk describes crystalline CaRhW2 at its relaxed geometry. The functional is GGA-PBE.

Geometry as POSCAR:
```
CaRhW2
1.0
2.799 0.000 0.000
0.000 4.989 0.000
-0.849 0.000 4.992
Ca Rh W
1 1 2
Direct
0.000 0.000 0.000
0.500 0.000 0.500
0.271 0.500 0.748
0.729 0.500 0.252
```

## Properties
The uncorrected energy is -8.313 eV per atom. Its symmetry is P2/m, No. 10.

---

Record 18
This record from Alexandria via LeMat-Bulk describes crystalline CaRhW3 at its relaxed geometry. The functional is GGA-PBE.

Geometry as POSCAR:
```
CaRhW3
1.0
4.521 0.000 0.000
0.000 4.521 0.000
0.000 0.000 4.521
Ca Rh W
1 1 3
Direct
0.000 0.000 0.000
0.500 0.500 0.500
0.000 0.000 0.500
0.000 0.500 0.000
0.500 0.000 0.000
```

## Properties
The uncorrected energy is -6.467 eV per atom. Its symmetry is Pm-3m, No. 221.

---

Record 19
This record from Alexandria via LeMat-Bulk describes crystalline CaRhW2 at its relaxed geometry. The functional is GGA-PBE.

Geometry as POSCAR:
```
CaRhW2
1.0
2.873 0.000 0.000
-1.436 2.488 0.000
0.000 0.000 29.644
Ca Rh W
3 3 6
Direct
0.000 0.000 0.000
0.333 0.667 0.667
0.667 0.333 0.333
0.000 0.000 0.500
0.333 0.667 0.167
0.667 0.333 0.833
0.000 0.000 0.241
0.000 0.000 0.759
0.333 0.667 0.426
0.333 0.667 0.907
0.667 0.333 0.093
0.667 0.333 0.574
```

## Properties
The uncorrected energy is -8.209 eV per atom. Its symmetry is R-3m, No. 166.

---

Record 20
This record from Alexandria via LeMat-Bulk describes crystalline CaRhW2 at its relaxed geometry. The functional is GGA-PBE.

Geometry as POSCAR:
```
CaRhW2
1.0
3.126 0.000 0.000
0.000 4.434 0.000
0.000 0.000 5.041
Ca Rh W
1 1 2
Direct
0.000 0.000 0.000
0.500 0.500 0.000
0.000 0.500 0.500
0.500 0.000 0.500
```

## Properties
The uncorrected energy is -8.372 eV per atom. Its symmetry is Pmmm, No. 47.